Below is a relaxed NaAcSmHg crystal, with properties calculated at the PBE-GGA level.

Cell lengths 5.649, 5.649, 5.649 Å; angles 60.00, 60.00, 60.00 degrees
Atoms (fractional coordinates):
Na: 0.000 0.000 0.000
Ac: 0.750 0.750 0.750
Sm: 0.250 0.250 0.250
Hg: 0.500 0.500 0.500

Values from the calculation:
The calculation puts the total energy at -2.673 eV per atom.

---

Below is a relaxed Sm4PtRh3 crystal, with properties calculated at the PBE-GGA level.

Cell lengths 3.901, 4.272, 10.900 Å; angles 90.00, 90.00, 90.00 degrees
Atoms (fractional coordinates):
Sm: 0.000 0.000 0.000
Sm: 0.000 0.500 0.277
Sm: 0.500 0.000 0.493
Sm: 0.500 0.500 0.780
Pt: 0.000 0.000 0.721
Rh: 0.000 0.500 0.549
Rh: 0.500 0.000 0.223
Rh: 0.500 0.500 0.049

Values from the calculation:
The calculation puts the total energy at -6.725 eV per atom.

---

Below is a relaxed ZnCu2SiS4 crystal, with properties calculated at the PBE-GGA level.

Cell lengths 7.379, 6.462, 6.162 Å; angles 90.00, 90.00, 90.00 degrees
Atoms (fractional coordinates):
Zn: 0.000 0.151 0.000
Zn: 0.500 0.849 0.500
Cu: 0.248 0.327 0.490
Cu: 0.252 0.673 0.990
Cu: 0.748 0.673 0.990
Cu: 0.752 0.327 0.490
Si: 0.000 0.829 0.501
Si: 0.500 0.171 0.001
S: 0.000 0.144 0.616
S: 0.000 0.818 0.150
S: 0.237 0.665 0.619
S: 0.263 0.335 0.119
S: 0.500 0.182 0.650
S: 0.500 0.856 0.116
S: 0.737 0.335 0.119
S: 0.763 0.665 0.619

Values from the calculation:
As for the uncorrected formation energy: -0.552 eV/atom.

---

| no. | V (Å³/atom) |
| --- | --- |
| 1 | 31.9 |
| 2 | 22.7 |
| 3 | 18.4 |